La2Tc2Pd | PBE-GGA | relaxed

Properties
- Formation enthalpy at 0 K: -0.092 eV/atom
- Distance to the lowest polymorph of the same formula: 0.0 meV/atom

a = 3.595 Å, b = 3.595 Å, c = 17.958 Å
α = 90.00°, β = 90.00°, γ = 90.00°
Positions (direct):
La 0.000 0.000 0.104
La 0.000 0.000 0.896
La 0.500 0.500 0.396
La 0.500 0.500 0.604
Tc 0.000 0.500 0.250
Tc 0.000 0.500 0.750
Tc 0.500 0.000 0.250
Tc 0.500 0.000 0.750
Pd 0.000 0.000 0.500
Pd 0.500 0.500 0.000